1.
Below is an optimized crystal structure of Nd3Y4Pt4, with properties calculated at the PBE-GGA level.

Summary:
ΔE_f ... -83.1 kJ per mole of atoms
Space-group type ... Immm, No. 71
Total magnetic moment ... 0.00 μB per cell

Cell lengths 4.647, 7.838, 9.058 Å; angles 115.64, 104.86, 90.00 degrees
Element x y z (fractional)
Nd (0.101, 0.101, 0.202)
Nd (0.899, 0.899, 0.798)
Nd (0.000, 0.500, 0.000)
Y (0.329, 0.117, 0.657)
Y (0.671, 0.459, 0.343)
Y (0.671, 0.883, 0.343)
Y (0.329, 0.541, 0.657)
Pt (0.208, 0.708, 0.415)
Pt (0.792, 0.292, 0.585)
Pt (0.500, 0.816, 0.000)
Pt (0.500, 0.184, 0.000)

---

2.
Below is an optimized crystal structure of K3GdAs2S8, with properties calculated at the PBE-GGA level.

Summary:
Space-group type ... C2/c, No. 15
Raw total energy ... -5.176 eV per atom
Total magnetic moment ... 13.95 μB per cell

Cell lengths 11.023, 11.023, 9.092 Å; angles 77.13, 77.13, 123.00 degrees
Each line ends with the local moment (μB).
Element x y z (fractional)
K (0.004, 0.996, 0.750)  0.00
K (0.996, 0.004, 0.250)  0.00
K (0.500, 0.500, 0.500)  0.00
K (0.500, 0.500, 0.000)  0.00
K (0.745, 0.255, 0.250)  0.00
K (0.255, 0.745, 0.750)  0.00
Gd (0.757, 0.243, 0.750)  6.95
Gd (0.243, 0.757, 0.250)  6.95
As (0.907, 0.656, 0.600)  0.00
As (0.344, 0.093, 0.900)  0.00
As (0.093, 0.344, 0.400)  0.00
As (0.656, 0.907, 0.100)  0.00
S (0.762, 0.731, 0.627)  0.00
S (0.269, 0.238, 0.873)  0.00
S (0.238, 0.269, 0.373)  0.00
S (0.731, 0.762, 0.127)  0.00
S (0.840, 0.131, 0.527)  -0.01
S (0.869, 0.160, 0.973)  -0.01
S (0.160, 0.869, 0.473)  -0.01
S (0.131, 0.840, 0.027)  -0.01
S (0.125, 0.473, 0.559)  -0.01
S (0.527, 0.875, 0.941)  -0.01
S (0.875, 0.527, 0.441)  -0.01
S (0.473, 0.125, 0.059)  -0.01
S (0.498, 0.140, 0.659)  -0.01
S (0.860, 0.502, 0.841)  -0.01
S (0.502, 0.860, 0.341)  -0.01
S (0.140, 0.498, 0.159)  -0.01

---

3.
Below is an optimized crystal structure of Hf2MgCBr, with properties calculated at the PBE-GGA level.

Summary:
Space-group type ... P4/mmm, No. 123
Raw total energy ... -6.266 eV per atom
Total magnetic moment ... 0.00 μB per cell

Cell lengths 4.568, 4.485, 4.568 Å; angles 90.00, 90.00, 90.00 degrees
Element x y z (fractional)
Mg (0.000, 0.500, 0.000)
Hf (0.000, 0.000, 0.500)
Hf (0.500, 0.000, 0.000)
C (0.000, 0.000, 0.000)
Br (0.500, 0.500, 0.500)

---

4.
Below is an optimized crystal structure of Pr5Nd2Tm4, with properties calculated at the PBE-GGA level.

Summary:
ΔE_f ... 13.5 kJ per mole of atoms
Space-group type ... C2/m, No. 12
Total magnetic moment ... 0.00 μB per cell

Cell lengths 3.604, 12.265, 9.247 Å; angles 107.03, 101.24, 90.00 degrees
Element x y z (fractional)
Pr (0.887, 0.483, 0.774)
Pr (0.113, 0.517, 0.226)
Pr (0.834, 0.989, 0.668)
Pr (0.500, 0.000, 0.000)
Pr (0.166, 0.011, 0.332)
Nd (0.676, 0.290, 0.352)
Nd (0.324, 0.710, 0.648)
Tm (0.331, 0.232, 0.661)
Tm (0.005, 0.752, 0.010)
Tm (0.669, 0.768, 0.339)
Tm (0.995, 0.248, 0.990)

---

5.
Below is an optimized crystal structure of BaBeHg2Bi, with properties calculated at the PBE-GGA level.

Summary:
ΔE_f ... -18.4 kJ per mole of atoms
Space-group type ... P4/mmm, No. 123
Total magnetic moment ... 0.00 μB per cell

Cell lengths 5.065, 5.065, 5.483 Å; angles 90.00, 90.00, 90.00 degrees
Element x y z (fractional)
Ba (0.500, 0.500, 0.500)
Be (0.000, 0.000, 0.000)
Bi (0.000, 0.000, 0.500)
Hg (0.000, 0.500, 0.000)
Hg (0.500, 0.000, 0.000)

---

6.
Below is an optimized crystal structure of PmNd5In5, with properties calculated at the PBE-GGA level.

Summary:
ΔE_f ... -21.8 kJ per mole of atoms
Space-group type ... C2/m, No. 12
Total magnetic moment ... 0.00 μB per cell

Cell lengths 5.956, 9.240, 6.689 Å; angles 90.24, 90.00, 108.80 degrees
Element x y z (fractional)
Pm (0.000, 0.000, 0.000)
Nd (0.658, 0.315, 0.497)
Nd (0.677, 0.355, 0.997)
Nd (0.000, 0.000, 0.500)
Nd (0.323, 0.645, 0.003)
Nd (0.342, 0.685, 0.503)
In (0.836, 0.672, 0.263)
In (0.836, 0.672, 0.739)
In (0.500, 0.000, 0.000)
In (0.164, 0.328, 0.261)
In (0.164, 0.328, 0.737)

---

7.
Below is an optimized crystal structure of Ca2Zn6CuRh, with properties calculated at the PBE-GGA level.

Summary:
ΔE_f ... -19.4 kJ per mole of atoms
Space-group type ... R-3m, No. 166
Total magnetic moment ... 0.00 μB per cell

Cell lengths 6.222, 6.222, 12.218 Å; angles 75.25, 75.25, 60.00 degrees
Element x y z (fractional)
Ca (0.864, 0.864, 0.407)
Ca (0.136, 0.136, 0.593)
Ca (0.691, 0.691, 0.926)
Ca (0.309, 0.309, 0.074)
Zn (0.938, 0.350, 0.361)
Zn (0.350, 0.938, 0.361)
Zn (0.350, 0.350, 0.361)
Zn (0.062, 0.650, 0.639)
Zn (0.650, 0.062, 0.639)
Zn (0.650, 0.650, 0.639)
Zn (0.754, 0.203, 0.840)
Zn (0.203, 0.754, 0.840)
Zn (0.203, 0.203, 0.840)
Zn (0.246, 0.797, 0.160)
Zn (0.797, 0.246, 0.160)
Zn (0.797, 0.797, 0.160)
Cu (0.577, 0.577, 0.270)
Cu (0.423, 0.423, 0.730)
Rh (0.000, 0.000, 0.000)
Rh (0.500, 0.500, 0.500)

---

8.
Below is an optimized crystal structure of RbCdPbAu3, with properties calculated at the PBE-GGA level.

Summary:
ΔE_f ... -8.8 kJ per mole of atoms
Space-group type ... C2/c, No. 15
Total magnetic moment ... 0.00 μB per cell

Cell lengths 7.778, 7.391, 7.729 Å; angles 61.44, 87.43, 84.62 degrees
Element x y z (fractional)
Rb (0.250, 0.250, 0.499)
Rb (0.750, 0.750, 0.501)
Cd (0.750, 0.043, 0.914)
Cd (0.250, 0.957, 0.086)
Pb (0.250, 0.550, 0.900)
Pb (0.750, 0.450, 0.100)
Au (0.503, 0.803, 0.909)
Au (0.997, 0.288, 0.909)
Au (0.750, 0.244, 0.511)
Au (0.497, 0.197, 0.091)
Au (0.003, 0.712, 0.091)
Au (0.250, 0.756, 0.489)

---

9.
Below is an optimized crystal structure of Rb2MgCd3, with properties calculated at the PBE-GGA level.

Summary:
ΔE_f ... -0.3 kJ per mole of atoms
Space-group type ... Pmma, No. 51
Total magnetic moment ... 0.00 μB per cell

Cell lengths 6.282, 7.152, 9.706 Å; angles 90.00, 90.00, 90.00 degrees
Element x y z (fractional)
Rb (0.250, 0.500, 0.144)
Rb (0.250, 0.000, 0.380)
Rb (0.750, 0.000, 0.620)
Rb (0.750, 0.500, 0.856)
Mg (0.750, 0.500, 0.434)
Mg (0.250, 0.500, 0.566)
Cd (0.000, 0.000, 0.000)
Cd (0.500, 0.000, 0.000)
Cd (0.750, 0.216, 0.219)
Cd (0.750, 0.784, 0.219)
Cd (0.250, 0.216, 0.781)
Cd (0.250, 0.784, 0.781)

---

10.
Below is an optimized crystal structure of Sr2ScBr, with properties calculated at the PBE-GGA level.

Summary:
Space-group type ... Pmm2, No. 25
Raw total energy ... -3.069 eV per atom
Total magnetic moment ... 0.55 μB per cell

Cell lengths 3.885, 5.605, 7.091 Å; angles 90.00, 90.00, 90.00 degrees
Each line ends with the local moment (μB).
Element x y z (fractional)
Br (0.000, 0.000, 0.381)  0.00
Sc (0.500, 0.500, 0.845)  0.22
Sr (0.000, 0.000, 0.929)  0.02
Sr (0.500, 0.500, 0.345)  0.02

---

11.
Below is an optimized crystal structure of Cs2Cr3Cl8, with properties calculated at the PBE-GGA level.

Summary:
Space-group type ... C2/m, No. 12
Raw total energy ... -4.755 eV per atom
Total magnetic moment ... 12.00 μB per cell

Cell lengths 7.633, 7.633, 8.888 Å; angles 77.13, 77.13, 55.41 degrees
Each line ends with the local moment (μB).
Element x y z (fractional)
Cs (0.688, 0.688, 0.339)  0.00
Cs (0.312, 0.312, 0.661)  0.00
Cr (0.000, 0.000, 0.500)  3.60
Cr (0.249, 0.751, 0.000)  3.64
Cr (0.751, 0.249, 0.000)  3.64
Cl (0.379, 0.379, 0.016)  -0.03
Cl (0.621, 0.621, 0.984)  -0.03
Cl (0.882, 0.882, 0.991)  -0.03
Cl (0.118, 0.118, 0.009)  -0.03
Cl (0.825, 0.290, 0.648)  0.00
Cl (0.290, 0.825, 0.648)  0.00
Cl (0.710, 0.175, 0.352)  0.00
Cl (0.175, 0.710, 0.352)  0.00

---

12.
Below is an optimized crystal structure of PaMoPd, with properties calculated at the PBE-GGA level.

Summary:
ΔE_f ... -10.0 kJ per mole of atoms
Space-group type ... P-1, No. 2
Total magnetic moment ... 0.00 μB per cell

Cell lengths 3.514, 7.040, 5.880 Å; angles 88.15, 53.37, 90.06 degrees
Element x y z (fractional)
Pd (0.816, 0.653, 0.933)
Pd (0.184, 0.347, 0.067)
Pa (0.155, 0.294, 0.596)
Pa (0.845, 0.706, 0.404)
Mo (0.516, 0.961, 0.734)
Mo (0.484, 0.039, 0.266)

---

13.
Below is an optimized crystal structure of KLiGeI2, with properties calculated at the PBE-GGA level.

Summary:
Space-group type ... P4/mmm, No. 123
Raw total energy ... -2.048 eV per atom
Total magnetic moment ... 2.00 μB per cell

Cell lengths 6.523, 6.063, 6.523 Å; angles 90.00, 90.00, 90.00 degrees
Each line ends with the local moment (μB).
Element x y z (fractional)
I (0.000, 0.000, 0.500)  0.01
I (0.500, 0.000, 0.000)  0.01
Ge (0.000, 0.500, 0.000)  0.74
K (0.000, 0.000, 0.000)  0.04
Li (0.500, 0.500, 0.500)  0.00

---

14.
Below is an optimized crystal structure of CeTh2Ni6, with properties calculated at the PBE-GGA level.

Summary:
ΔE_f ... -22.5 kJ per mole of atoms
Space-group type ... Immm, No. 71
Total magnetic moment ... 0.10 μB per cell

Cell lengths 3.573, 7.694, 7.694 Å; angles 53.47, 76.57, 76.57 degrees
Each line ends with the local moment (μB).
Element x y z (fractional)
Ce (0.500, 0.500, 0.500)  -0.09
Th (0.355, 0.145, 0.145)  0.00
Th (0.645, 0.855, 0.855)  0.00
Ni (0.174, 0.514, 0.138)  0.00
Ni (0.826, 0.486, 0.862)  0.00
Ni (0.826, 0.862, 0.486)  0.00
Ni (0.000, 0.190, 0.810)  0.00
Ni (0.000, 0.810, 0.190)  0.00
Ni (0.174, 0.138, 0.514)  0.00

---

15.
Below is an optimized crystal structure of TbSm2Pt, with properties calculated at the PBE-GGA level.

Summary:
ΔE_f ... -49.2 kJ per mole of atoms
Space-group type ... P4/mmm, No. 123
Total magnetic moment ... 0.00 μB per cell

Cell lengths 3.645, 3.645, 8.520 Å; angles 90.00, 90.00, 90.00 degrees
Element x y z (fractional)
Tb (0.500, 0.500, 0.500)
Sm (0.000, 0.000, 0.803)
Sm (0.000, 0.000, 0.197)
Pt (0.500, 0.500, 0.000)

---

16.
Below is an optimized crystal structure of PdAu2Se, with properties calculated at the PBE-GGA level.

Summary:
Space-group type ... I-42d, No. 122
Raw total energy ... -3.689 eV per atom
Total magnetic moment ... 0.00 μB per cell

Cell lengths 7.550, 7.550, 5.979 Å; angles 50.85, 50.85, 90.00 degrees
Element x y z (fractional)
Au (0.615, 0.125, 0.250)
Au (0.135, 0.625, 0.250)
Au (0.375, 0.385, 0.750)
Au (0.875, 0.865, 0.750)
Se (0.500, 0.500, 0.000)
Se (0.250, 0.750, 0.500)
Pd (0.000, 0.000, 0.000)
Pd (0.750, 0.250, 0.500)

---

17.
Below is an optimized crystal structure of LiSm2ErSe5, with properties calculated at the PBE-GGA level.

Summary:
Space-group type ... Cmc2_1, No. 36
Raw total energy ... -5.438 eV per atom
Total magnetic moment ... 0.00 μB per cell

Cell lengths 4.100, 8.814, 12.391 Å; angles 90.00, 90.00, 103.45 degrees
Element x y z (fractional)
Li (0.514, 0.028, 0.981)
Li (0.486, 0.972, 0.481)
Sm (0.874, 0.749, 0.796)
Sm (0.107, 0.214, 0.685)
Sm (0.126, 0.251, 0.296)
Sm (0.893, 0.786, 0.185)
Er (0.803, 0.607, 0.503)
Er (0.197, 0.393, 0.003)
Se (0.362, 0.724, 0.998)
Se (0.692, 0.385, 0.843)
Se (0.500, 0.000, 0.784)
Se (0.285, 0.569, 0.661)
Se (0.953, 0.905, 0.573)
Se (0.638, 0.276, 0.498)
Se (0.308, 0.615, 0.343)
Se (0.500, 0.000, 0.284)
Se (0.715, 0.431, 0.161)
Se (0.047, 0.095, 0.073)